PBE AcNp4N8, relaxed; electronic total energy = -10.3226 eV/atom; Fermi-level density of states = 18.32 states/eV/cell; size of the total moment = 7.0 μB/cell; space group = No. 166
1.0
3.459 1.997 6.147
-3.459 1.997 6.147
0.000 -3.994 6.147
Ac Np N
1 4 8
Cartesian
0.000 0.000 0.000
-3.459 0.000 9.221
-1.730 0.999 3.074
1.730 0.999 3.074
0.000 0.000 9.221
-1.842 -1.063 10.253
0.000 0.000 3.960
0.000 -2.126 8.188
-1.842 1.063 8.188
1.842 -1.063 10.253
0.000 2.126 10.253
0.000 0.000 14.481
1.842 1.063 8.188

PBE LiCe2GeSe5, relaxed; electronic total energy = -5.2537 eV/atom; Fermi-level density of states = 24.41 states/eV/cell; size of the total moment = 2.6 μB/cell; space group = No. 36
1.0
2.058 -8.847 0.000
2.058 8.847 0.000
0.000 0.000 11.812
Li Ce Ge Se
2 4 2 10
Cartesian
2.058 4.977 5.906
2.058 -4.977 0.000
2.058 6.716 9.421
2.058 6.583 2.111
2.058 -6.583 8.017
2.058 -6.716 3.516
2.058 1.492 11.522
2.058 -1.492 5.616
2.058 8.315 6.826
2.058 3.591 9.807
2.058 3.448 1.799
2.058 2.470 5.812
2.058 0.219 9.261
2.058 -0.219 3.355
2.058 -2.470 11.718
2.058 -3.448 7.705
2.058 -3.591 3.901
2.058 -8.315 0.920